[1]
The following is a DFT calculation (PBE) of a geometry-optimized KRu structure.

Uncorrected energy: -3.208 eV/atom
D(E_F): 3.40 states/eV/cell
Calculated volume: 26.03 Å³/atom
Energy relative to the elements: 1978 meV/atom

abc: 3.7342 3.7342 3.7342
angles: 90.00 90.00 90.00
Each line ends with the local moment (μB).
Fractional positions:
K 0.0000 0.0000 0.0000  0.00
Ru 0.5000 0.5000 0.5000  1.94

***

[2]
The following is a DFT calculation (PBE) of a geometry-optimized K3Ru structure.

Uncorrected energy: -2.081 eV/atom
D(E_F): 15.78 states/eV/cell
Calculated volume: 39.12 Å³/atom
Energy relative to the elements: 1061 meV/atom

abc: 6.7894 6.7894 6.7894
angles: 90.00 90.00 90.00
Each line ends with the local moment (μB).
Fractional positions:
K 0.0000 0.7500 0.5000  -0.01
K 0.0000 0.2500 0.5000  -0.01
K 0.7500 0.5000 0.0000  -0.01
K 0.2500 0.5000 0.0000  -0.01
K 0.5000 0.0000 0.2500  -0.01
K 0.5000 0.0000 0.7500  -0.01
Ru 0.5000 0.5000 0.5000  1.79
Ru 0.0000 0.0000 0.0000  1.79

***

[3]
The following is a DFT calculation (PBE) of a geometry-optimized KRu structure.

Uncorrected energy: -4.507 eV/atom
D(E_F): 3.49 states/eV/cell
Calculated volume: 35.07 Å³/atom
Energy relative to the elements: 680 meV/atom

abc: 9.9205 4.1051 4.1036
angles: 60.01 78.06 77.29
Fractional positions:
Ru 0.4509 0.1278 0.2107
Ru 0.4658 0.4556 0.5393
K 0.7259 0.6924 0.7908
K 0.1908 0.8909 0.9592

***

[4]
The following is a DFT calculation (PBE) of a geometry-optimized K3Ru structure.

Uncorrected energy: -2.183 eV/atom
D(E_F): 4.19 states/eV/cell
Calculated volume: 44.85 Å³/atom
Energy relative to the elements: 959 meV/atom

abc: 9.6431 9.6431 5.9313
angles: 72.10 72.10 20.02
Each line ends with the local moment (μB).
Fractional positions:
K 0.3424 0.3424 0.1576  0.00
K 0.6576 0.6576 0.8424  0.00
K 0.5000 0.5000 0.5000  -0.01
Ru 0.0000 0.0000 0.0000  1.67

***

[5]
The following is a DFT calculation (PBE) of a geometry-optimized K5Ru structure.

Uncorrected energy: -1.741 eV/atom
D(E_F): 6.14 states/eV/cell
Calculated volume: 53.27 Å³/atom
Energy relative to the elements: 720 meV/atom

abc: 11.2289 11.2289 6.4505
angles: 90.00 90.00 156.86
Each line ends with the local moment (μB).
Fractional positions:
K 0.6480 0.3520 0.0000  -0.01
K 0.0106 0.9894 0.0000  -0.01
K 0.4959 0.5041 0.5000  0.00
K 0.7326 0.2674 0.5000  0.00
K 0.3350 0.6650 0.0000  0.00
Ru 0.1112 0.8888 0.5000  1.97

***

[6]
The following is a DFT calculation (PBE) of a geometry-optimized K3Ru structure.

Uncorrected energy: -2.097 eV/atom
D(E_F): 6.16 states/eV/cell
Calculated volume: 38.16 Å³/atom
Energy relative to the elements: 1046 meV/atom

abc: 5.9987 5.9987 5.9987
angles: 60.00 60.00 60.00
Each line ends with the local moment (μB).
Fractional positions:
K 0.2500 0.2500 0.2500  -0.01
K 0.5000 0.5000 0.5000  -0.02
K 0.7500 0.7500 0.7500  -0.01
Ru 0.0000 0.0000 0.0000  1.79

***

[7]
The following is a DFT calculation (PBE) of a geometry-optimized KRu4 structure.

Uncorrected energy: -4.854 eV/atom
D(E_F): 8.99 states/eV/cell
Calculated volume: 18.37 Å³/atom
Energy relative to the elements: 2786 meV/atom

abc: 4.9226 4.9226 4.9226
angles: 109.47 109.47 109.47
Fractional positions:
Ru 0.5000 0.0000 0.0000
Ru 0.0000 0.0000 0.5000
Ru 0.5000 0.5000 0.5000
Ru 0.0000 0.5000 0.0000
K 0.0000 0.0000 0.0000

***

[8]
The following is a DFT calculation (PBE) of a geometry-optimized K3Ru structure.

Uncorrected energy: -2.091 eV/atom
D(E_F): 19.73 states/eV/cell
Calculated volume: 40.73 Å³/atom
Energy relative to the elements: 1051 meV/atom

abc: 7.9378 7.9378 11.9420
angles: 90.00 90.00 120.00
Each line ends with the local moment (μB).
Fractional positions:
K 0.8515 0.1485 0.2500  -0.01
K 0.5000 0.5000 0.5000  -0.01
K 0.1485 0.2970 0.7500  -0.01
K 0.5000 0.0000 0.5000  -0.01
K 0.5000 0.5000 0.0000  -0.01
K 0.7030 0.8515 0.7500  -0.01
K 0.2970 0.1485 0.2500  -0.01
K 0.0000 0.5000 0.0000  -0.01
K 0.0000 0.5000 0.5000  -0.01
K 0.1485 0.8515 0.7500  -0.01
K 0.5000 0.0000 0.0000  -0.01
K 0.8515 0.7030 0.2500  -0.01
Ru 0.0000 0.0000 0.5000  1.92
Ru 0.6667 0.3333 0.7500  2.00
Ru 0.3333 0.6667 0.2500  2.00
Ru 0.0000 0.0000 0.0000  1.92

***

[9]
The following is a DFT calculation (PBE) of a geometry-optimized KRu structure.

Uncorrected energy: -4.204 eV/atom
D(E_F): 5.20 states/eV/cell
Calculated volume: 32.34 Å³/atom
Energy relative to the elements: 982 meV/atom

abc: 6.4791 6.4791 4.0036
angles: 90.00 90.00 129.67
Fractional positions:
K 0.8573 0.1427 0.7500
K 0.1427 0.8573 0.2500
Ru 0.4531 0.5469 0.2500
Ru 0.5469 0.4531 0.7500

***

[10]
The following is a DFT calculation (PBE) of a geometry-optimized KRu structure.

Uncorrected energy: -3.913 eV/atom
D(E_F): 1.81 states/eV/cell
Calculated volume: 20.31 Å³/atom
Energy relative to the elements: 1274 meV/atom

abc: 5.9715 5.9715 5.9715
angles: 27.70 27.70 27.70
Each line ends with the local moment (μB).
Fractional positions:
Ru 0.5000 0.5000 0.5000  1.08
K 0.0000 0.0000 0.0000  -0.01

***

[11]
The following is a DFT calculation (PBE) of a geometry-optimized KRu3 structure.

Uncorrected energy: -6.309 eV/atom
D(E_F): 5.33 states/eV/cell
Calculated volume: 16.87 Å³/atom
Energy relative to the elements: 923 meV/atom

abc: 2.7310 2.7310 10.2394
angles: 90.00 90.00 117.91
Each line ends with the local moment (μB).
Fractional positions:
Ru 0.5000 0.5000 0.7164  0.21
Ru 0.0000 0.0000 0.5000  0.57
Ru 0.5000 0.5000 0.2836  0.21
K 0.0000 0.0000 0.0000  0.00

***

[12]
The following is a DFT calculation (PBE) of a geometry-optimized KRu5 structure.

Uncorrected energy: -6.842 eV/atom
D(E_F): 12.00 states/eV/cell
Calculated volume: 16.57 Å³/atom
Energy relative to the elements: 1071 meV/atom

abc: 5.2000 5.2000 5.2000
angles: 60.00 60.00 60.00
Fractional positions:
Ru 0.1269 0.6244 0.6244
Ru 0.6244 0.1269 0.6244
Ru 0.6244 0.6244 0.6244
Ru 0.2500 0.2500 0.2500
Ru 0.6244 0.6244 0.1269
K 0.0000 0.0000 0.0000

***

[13]
The following is a DFT calculation (PBE) of a geometry-optimized KRu3 structure.

Uncorrected energy: -6.408 eV/atom
D(E_F): 8.92 states/eV/cell
Calculated volume: 22.02 Å³/atom
Energy relative to the elements: 824 meV/atom

abc: 3.7927 5.6369 8.2385
angles: 90.00 90.00 90.00
Fractional positions:
Ru 0.5000 0.2169 0.9086
Ru 0.0000 0.7169 0.0914
Ru 0.5000 0.0000 0.1898
Ru 0.0000 0.2831 0.0914
Ru 0.5000 0.7831 0.9086
Ru 0.0000 0.5000 0.8102
K 0.0000 0.0000 0.5781
K 0.5000 0.5000 0.4219

***

[14]
The following is a DFT calculation (PBE) of a geometry-optimized K3Ru structure.

Uncorrected energy: -2.029 eV/atom
D(E_F): 4.56 states/eV/cell
Calculated volume: 37.20 Å³/atom
Energy relative to the elements: 1113 meV/atom

abc: 6.9560 6.9560 3.4327
angles: 90.00 90.00 116.37
Each line ends with the local moment (μB).
Fractional positions:
K 0.5000 0.5000 0.0000  -0.01
K 0.5000 0.0000 0.5000  -0.01
K 0.0000 0.5000 0.5000  -0.01
Ru 0.0000 0.0000 0.0000  1.86

***

[15]
The following is a DFT calculation (PBE) of a geometry-optimized K3Ru structure.

Uncorrected energy: -2.090 eV/atom
D(E_F): 4.06 states/eV/cell
Calculated volume: 40.39 Å³/atom
Energy relative to the elements: 1052 meV/atom

abc: 13.7234 13.7234 13.7234
angles: 15.54 15.54 15.54
Each line ends with the local moment (μB).
Fractional positions:
K 0.5000 0.5000 0.5000  0.00
K 0.2715 0.2715 0.2715  -0.01
K 0.7285 0.7285 0.7285  -0.01
Ru 0.0000 0.0000 0.0000  1.85

***

[16]
The following is a DFT calculation (PBE) of a geometry-optimized KRu3 structure.

Uncorrected energy: -6.462 eV/atom
D(E_F): 4.91 states/eV/cell
Calculated volume: 20.04 Å³/atom
Energy relative to the elements: 769 meV/atom

abc: 3.7811 2.7061 8.2544
angles: 71.62 90.00 90.00
Fractional positions:
Ru 0.0000 0.5000 0.5000
Ru 0.5000 0.8464 0.6596
Ru 0.5000 0.1536 0.3404
K 0.0000 0.0000 0.0000

***

[17]
The following is a DFT calculation (PBE) of a geometry-optimized KRu3 structure.

Uncorrected energy: -6.339 eV/atom
D(E_F): 6.71 states/eV/cell
Calculated volume: 20.59 Å³/atom
Energy relative to the elements: 892 meV/atom

abc: 4.5601 4.5601 6.8993
angles: 86.10 86.10 35.14
Fractional positions:
Ru 0.2328 0.2328 0.3494
Ru 0.5000 0.5000 0.5000
Ru 0.7672 0.7672 0.6506
K 0.0000 0.0000 0.0000

***

[18]
The following is a DFT calculation (PBE) of a geometry-optimized KRu structure.

Uncorrected energy: -3.804 eV/atom
D(E_F): 17.09 states/eV/cell
Calculated volume: 62.30 Å³/atom
Energy relative to the elements: 1383 meV/atom

abc: 9.9894 9.9894 9.9894
angles: 90.00 90.00 90.00
Each line ends with the local moment (μB).
Fractional positions:
K 0.7130 0.7130 0.7130  0.02
K 0.2870 0.7130 0.2870  0.02
K 0.2870 0.2870 0.7130  0.02
K 0.7870 0.2130 0.7870  0.02
K 0.2130 0.7870 0.7870  0.02
K 0.7130 0.2870 0.2870  0.02
K 0.2130 0.2130 0.2130  0.02
K 0.7870 0.7870 0.2130  0.02
Ru 0.5895 0.5895 0.4105  2.31
Ru 0.0895 0.9105 0.0895  2.31
Ru 0.4105 0.4105 0.4105  2.31
Ru 0.9105 0.0895 0.0895  2.31
Ru 0.0895 0.0895 0.9105  2.31
Ru 0.5895 0.4105 0.5895  2.31
Ru 0.4105 0.5895 0.5895  2.31
Ru 0.9105 0.9105 0.9105  2.31

***

[19]
The following is a DFT calculation (PBE) of a geometry-optimized KRu structure.

Uncorrected energy: -4.087 eV/atom
D(E_F): 5.93 states/eV/cell
Calculated volume: 23.05 Å³/atom
Energy relative to the elements: 1100 meV/atom

abc: 11.8286 11.8286 11.8286
angles: 14.65 14.65 14.65
Fractional positions:
K 0.9828 0.9828 0.9828
K 0.7672 0.7672 0.7672
Ru 0.5149 0.5149 0.5149
Ru 0.2351 0.2351 0.2351

***

[20]
The following is a DFT calculation (PBE) of a geometry-optimized KRu structure.

Uncorrected energy: -3.844 eV/atom
D(E_F): 4.35 states/eV/cell
Calculated volume: 23.96 Å³/atom
Energy relative to the elements: 1343 meV/atom

abc: 4.9128 4.9128 4.9128
angles: 66.65 66.65 66.65
Each line ends with the local moment (μB).
Fractional positions:
K 0.3691 0.3691 0.3691  0.01
K 0.6309 0.6309 0.6309  0.01
Ru 0.9005 0.9005 0.9005  0.59
Ru 0.0995 0.0995 0.0995  0.59

***

[21]
The following is a DFT calculation (PBE) of a geometry-optimized KRu3 structure.

Uncorrected energy: -6.189 eV/atom
D(E_F): 11.52 states/eV/cell
Calculated volume: 17.88 Å³/atom
Energy relative to the elements: 1042 meV/atom

abc: 5.6940 5.6940 4.5128
angles: 90.00 90.00 102.20
Each line ends with the local moment (μB).
Fractional positions:
Ru 0.0445 0.6242 0.7500  0.27
Ru 0.9555 0.3758 0.2500  0.27
Ru 0.9290 0.0710 0.7500  0.06
Ru 0.0710 0.9290 0.2500  0.06
Ru 0.3758 0.9555 0.7500  0.27
Ru 0.6242 0.0445 0.2500  0.27
K 0.4382 0.5618 0.2500  0.01
K 0.5618 0.4382 0.7500  0.01

***

[22]
The following is a DFT calculation (PBE) of a geometry-optimized K3Ru structure.

Uncorrected energy: -2.154 eV/atom
D(E_F): 13.67 states/eV/cell
Calculated volume: 44.15 Å³/atom
Energy relative to the elements: 988 meV/atom

abc: 6.9565 9.4777 10.7143
angles: 90.00 90.00 90.00
Each line ends with the local moment (μB).
Fractional positions:
K 0.6243 0.1701 0.9371  -0.01
K 0.1243 0.3299 0.4371  -0.01
K 0.8960 0.9688 0.2500  0.00
K 0.1040 0.0312 0.7500  0.00
K 0.1243 0.3299 0.0629  -0.01
K 0.8757 0.6701 0.5629  -0.01
K 0.6243 0.1701 0.5629  -0.01
K 0.3757 0.8299 0.0629  -0.01
K 0.6040 0.4688 0.2500  0.00
K 0.3757 0.8299 0.4371  -0.01
K 0.8757 0.6701 0.9371  -0.01
K 0.3960 0.5312 0.7500  0.00
Ru 0.9469 0.3701 0.7500  1.80
Ru 0.0531 0.6299 0.2500  1.80
Ru 0.5531 0.8701 0.7500  1.80
Ru 0.4469 0.1299 0.2500  1.80

***

[23]
The following is a DFT calculation (PBE) of a geometry-optimized K5Ru structure.

Uncorrected energy: -1.713 eV/atom
D(E_F): 11.90 states/eV/cell
Calculated volume: 48.96 Å³/atom
Energy relative to the elements: 747 meV/atom

abc: 7.4210 7.4210 6.1600
angles: 90.00 90.00 120.00
Each line ends with the local moment (μB).
Fractional positions:
Ru 0.0000 0.0000 0.5000  1.96
K 0.0000 0.7145 0.0000  -0.01
K 0.2855 0.2855 0.0000  -0.01
K 0.7145 0.0000 0.0000  -0.01
K 0.6667 0.3333 0.5000  -0.01
K 0.3333 0.6667 0.5000  -0.01

***

[24]
The following is a DFT calculation (PBE) of a geometry-optimized KRu structure.

Uncorrected energy: -4.487 eV/atom
D(E_F): 17.60 states/eV/cell
Calculated volume: 30.77 Å³/atom
Energy relative to the elements: 700 meV/atom

abc: 9.4110 4.1851 12.4985
angles: 90.00 90.00 90.00
Fractional positions:
K 0.0888 0.7500 0.1214
K 0.5888 0.7500 0.3786
K 0.4112 0.2500 0.6214
K 0.7357 0.2500 0.1638
K 0.9112 0.2500 0.8786
K 0.2643 0.7500 0.8362
K 0.2357 0.2500 0.3362
K 0.7643 0.7500 0.6638
Ru 0.4593 0.7500 0.1016
Ru 0.5407 0.2500 0.8984
Ru 0.8705 0.2500 0.4614
Ru 0.0407 0.2500 0.6016
Ru 0.1295 0.7500 0.5386
Ru 0.9593 0.7500 0.3985
Ru 0.3705 0.2500 0.0386
Ru 0.6295 0.7500 0.9614

***

[25]
The following is a DFT calculation (PBE) of a geometry-optimized K3Ru structure.

Uncorrected energy: -2.169 eV/atom
D(E_F): 3.60 states/eV/cell
Calculated volume: 41.89 Å³/atom
Energy relative to the elements: 973 meV/atom

abc: 3.6214 3.6214 12.7766
angles: 90.00 90.00 89.84
Each line ends with the local moment (μB).
Fractional positions:
K 0.5000 0.5000 0.7500  0.00
K 0.0000 0.0000 0.0752  -0.01
K 0.0000 0.0000 0.4248  -0.01
Ru 0.5000 0.5000 0.2500  1.86

***

[26]
The following is a DFT calculation (PBE) of a geometry-optimized KRu structure.

Uncorrected energy: -2.548 eV/atom
D(E_F): 56.79 states/eV/cell
Calculated volume: 73.45 Å³/atom
Energy relative to the elements: 2639 meV/atom

abc: 9.5880 9.5880 9.5880
angles: 90.00 90.00 90.00
Each line ends with the local moment (μB).
Fractional positions:
Ru 0.2500 0.5000 0.0000  2.43
Ru 0.5000 0.0000 0.2500  2.43
Ru 0.0000 0.7500 0.5000  2.43
Ru 0.5000 0.0000 0.7500  2.43
Ru 0.0000 0.2500 0.5000  2.43
Ru 0.7500 0.5000 0.0000  2.43
K 0.0000 0.5000 0.2500  0.01
K 0.2500 0.0000 0.5000  0.01
K 0.0000 0.5000 0.7500  0.01
K 0.7500 0.0000 0.5000  0.01
K 0.5000 0.2500 0.0000  0.01
K 0.5000 0.7500 0.0000  0.01